# 1
# PBE Se5Cl, relaxed
data_Se5Cl
_space_group_name_H-M_alt 'C 1 m 1'
_space_group_IT_number 8
_space_group_name_Hall 'C -2y'
_cell_length_a 11.818
_cell_length_b 3.540
_cell_length_c 9.403
_cell_angle_alpha 90.00
_cell_angle_beta 115.92
_cell_angle_gamma 90.00
loop_
_atom_site_label
_atom_site_type_symbol
_atom_site_fract_x
_atom_site_fract_y
_atom_site_fract_z
_atom_site_occupancy
Se1 Se 0.000 0.000 0.000 1
Se2 Se 0.004 0.000 0.586 1
Se3 Se 0.200 0.500 0.680 1
Se4 Se 0.333 0.000 0.914 1
Se5 Se 0.387 0.000 0.388 1
Cl1 Cl 0.199 0.500 0.183 1
# Density of states at the Fermi level ... 3.92 states/eV/cell
# Electronic total energy ... -3.07 eV per atom
# Crystal system ... monoclinic
# Offset from the most stable computed form ... 0 meV per atom
# ΔE_f (raw) ... 0.83 eV/f.u.

***

# 2
# PBE Li2PmPuTe4, relaxed
data_Li2PmPuTe4
_space_group_name_H-M_alt 'P 1 2/m 1'
_space_group_IT_number 10
_space_group_name_Hall '-P 2y'
_cell_length_a 7.493
_cell_length_b 4.427
_cell_length_c 7.656
_cell_angle_alpha 90.00
_cell_angle_beta 110.01
_cell_angle_gamma 90.00
loop_
_atom_site_label
_atom_site_type_symbol
_atom_site_fract_x
_atom_site_fract_y
_atom_site_fract_z
_atom_site_occupancy
Li1 Li 0.000 0.000 0.000 1
Li2 Li 0.000 0.500 0.500 1
Pm1 Pm 0.500 0.000 0.500 1
Pu1 Pu 0.500 0.500 0.000 1
Te1 Te 0.239 0.500 0.245 1
Te2 Te 0.242 0.000 0.750 1
# Density of states at the Fermi level ... 14.53 states/eV/cell
# Electronic total energy ... -5.58 eV per atom
# Crystal system ... monoclinic
# ΔE_f (raw) ... -9.17 eV/f.u.